(1)
DFT (PBE) results for crystalline SmYZnCd at its relaxed geometry.

Properties
E_form ... -0.338 eV/atom
Relative energy among the computed polymorphs ... 0.0 meV per atom

Structure (CIF):
```
data_SmYZnCd
_cell_length_a 3.635
_cell_length_b 3.635
_cell_length_c 7.638
_cell_angle_alpha 90.00
_cell_angle_beta 90.00
_cell_angle_gamma 90.00
_space_group_name_H-M_alt 'P 4 m m'
_space_group_IT_number 99
_space_group_name_Hall 'P 4 -2'
loop_
_atom_site_label
_atom_site_type_symbol
_atom_site_fract_x
_atom_site_fract_y
_atom_site_fract_z
Sm1 Sm 0.000 0.000 0.000
Y1 Y 0.000 0.000 0.461
Zn1 Zn 0.500 0.500 0.240
Cd1 Cd 0.500 0.500 0.722
```



(2)
DFT (PBE) results for crystalline YbSmCd2 at its relaxed geometry.

Properties
E_form ... -0.377 eV/atom

Structure (CIF):
```
data_YbSmCd2
_cell_length_a 7.593
_cell_length_b 7.593
_cell_length_c 7.593
_cell_angle_alpha 90.00
_cell_angle_beta 90.00
_cell_angle_gamma 90.00
_space_group_name_H-M_alt 'F m -3 m'
_space_group_IT_number 225
_space_group_name_Hall '-F 4 2 3'
loop_
_atom_site_label
_atom_site_type_symbol
_atom_site_fract_x
_atom_site_fract_y
_atom_site_fract_z
Yb1 Yb 0.000 0.000 0.000
Sm1 Sm 0.000 0.000 0.500
Cd1 Cd 0.250 0.250 0.250
```



Question: Among the records above, which one has the lowest E_form?
Answer: YbSmCd2



Question: Which formula does entry 1 have?
Answer: SmYZnCd



Question: Look up the E_form of the second one.
Answer: -0.377 eV/atom